## a
Material: Nd2DyY
Method: DFT, GGA-PBE
State: relaxed

a = 3.6255 Å, b = 3.6255 Å, c = 11.9153 Å
α = 81.25°, β = 81.25°, γ = 60.00°
Element x y z (fractional)
Y1 0.5000 0.5000 0.5000
Nd1 0.7497 0.7497 0.7510
Nd2 0.2503 0.2503 0.2490
Dy1 0.0000 0.0000 0.0000

Summary:
* space-group type: No. 166
* magnetic moment: 0.00 μB/cell
* calculated volume: 133.5 Å³ per cell


## b
Material: Nd2DyY
Method: DFT, GGA-PBE
State: relaxed

a = 3.6274 Å, b = 3.6274 Å, c = 10.1986 Å
α = 90.00°, β = 90.00°, γ = 90.00°
Element x y z (fractional)
Y1 0.5000 0.5000 0.5000
Nd1 0.0000 0.0000 0.7513
Nd2 0.0000 0.0000 0.2487
Dy1 0.5000 0.5000 0.0000

Summary:
* space-group type: No. 123
* magnetic moment: 0.00 μB/cell
* calculated volume: 134.2 Å³ per cell


Relative calculated energies, zero for the most stable structure, unit meV per atom: a 0; b 8.